Below is a relaxed structure of CaPr2Mn3O9, with properties calculated at the PBE with a Hubbard U level.

Unit cell a=5.705 b=6.314 c=6.698 alpha=84.55 beta=68.57 gamma=73.16
Fractional positions:
Ca 0.000 0.000 0.000
Pr 0.274 0.880 0.457
Pr 0.456 0.303 0.704
Mn 0.351 0.424 0.216
Mn 0.703 0.772 0.812
Mn 0.873 0.564 0.122
O 0.055 0.626 0.814
O 0.108 0.696 0.250
O 0.159 0.290 0.087
O 0.265 0.251 0.448
O 0.402 0.927 0.743
O 0.574 0.492 0.357
O 0.593 0.486 0.938
O 0.649 0.860 0.133
O 0.839 0.023 0.700

Calculated values
- symmetry = P1, No. 1
- E_tot (eV/cell) = -112.211
- calculated volume (Å³/cell) = 215

***

Below is a relaxed structure of CaMnPtO4, with properties calculated at the PBE with a Hubbard U level.

Unit cell a=6.088 b=6.088 c=6.088 alpha=116.51 beta=107.52 gamma=104.63
Fractional positions:
Ca 0.416 0.166 0.250
Ca 0.584 0.834 0.750
Mn 0.000 0.000 0.500
Mn 0.000 0.500 0.000
Pt 0.000 0.500 0.500
Pt 0.500 0.500 0.000
O 0.162 0.233 0.929
O 0.197 0.767 0.429
O 0.266 0.319 0.553
O 0.266 0.712 0.947
O 0.734 0.288 0.053
O 0.734 0.681 0.447
O 0.803 0.233 0.571
O 0.838 0.767 0.071

Calculated values
- symmetry = Imma, No. 74
- E_tot (eV/cell) = -89.071
- calculated volume (Å³/cell) = 172

***

Below is a relaxed structure of Ca2MnPtO6, with properties calculated at the PBE with a Hubbard U level.

Unit cell a=5.392 b=5.392 c=4.292 alpha=90.00 beta=90.00 gamma=90.00
Fractional positions:
Ca 0.000 0.500 0.000
Ca 0.500 0.000 0.000
Mn 0.000 0.000 0.542
Pt 0.500 0.500 0.583
O 0.000 0.000 0.126
O 0.243 0.243 0.641
O 0.243 0.757 0.641
O 0.500 0.500 0.093
O 0.757 0.243 0.641
O 0.757 0.757 0.641

Calculated values
- symmetry = P4mm, No. 99
- E_tot (eV/cell) = -63.651
- calculated volume (Å³/cell) = 125